Computed, not measured: an optimized crystal structure of Y2Sc at the PBE level of DFT.

Calculated values
D(E_F): 1.63 states/eV per atom
DFT formation energy: 0.3672 eV/atom
V: 186.26 Å³ per cell
Energy relative to the lowest polymorph listed for this composition: 346 meV/atom

Unit cell a=6.4102 b=6.4102 c=6.4102 alpha=60.00 beta=60.00 gamma=60.00
Positions (direct):
Y: 0.0000 0.0000 0.0000
Y: 0.0000 0.0000 0.5000
Y: 0.0000 0.5000 0.0000
Y: 0.5000 0.0000 0.0000
Sc: 0.3750 0.3750 0.3750
Sc: 0.6250 0.6250 0.6250

Computed, not measured: an optimized crystal structure of YSc7 at the PBE level of DFT.

Calculated values
D(E_F): 1.91 states/eV per atom
DFT formation energy: 0.0317 eV/atom
V: 203.25 Å³ per cell
Energy relative to the lowest polymorph listed for this composition: 0 meV/atom

Unit cell a=8.0971 b=8.0971 c=8.0971 alpha=156.66 beta=101.27 gamma=83.48
Positions (direct):
Y: 0.0000 0.0000 0.0000
Sc: 0.1360 0.3659 0.7700
Sc: 0.2457 0.7457 0.5000
Sc: 0.4041 0.6341 0.7700
Sc: 0.5000 0.0000 0.5000
Sc: 0.5959 0.3659 0.2300
Sc: 0.7543 0.2543 0.5000
Sc: 0.8640 0.6341 0.2300

Computed, not measured: an optimized crystal structure of Y17Sc2 at the PBE level of DFT.

Calculated values
D(E_F): 1.90 states/eV per atom
DFT formation energy: 0.3552 eV/atom
V: 631.28 Å³ per cell

Unit cell a=8.7297 b=8.7297 c=8.7297 alpha=78.74 beta=78.74 gamma=78.74
Positions (direct):
Y: 0.0000 0.0000 0.5000
Y: 0.0000 0.3011 0.6989
Y: 0.0000 0.5000 0.0000
Y: 0.0000 0.6989 0.3011
Y: 0.0965 0.0965 0.0965
Y: 0.1499 0.6257 0.6257
Y: 0.3011 0.0000 0.6989
Y: 0.3011 0.6989 0.0000
Y: 0.3743 0.3743 0.8501
Y: 0.3743 0.8501 0.3743
Y: 0.5000 0.0000 0.0000
Y: 0.6257 0.1499 0.6257
Y: 0.6257 0.6257 0.1499
Y: 0.6989 0.0000 0.3011
Y: 0.6989 0.3011 0.0000
Y: 0.8501 0.3743 0.3743
Y: 0.9035 0.9035 0.9035
Sc: 0.3131 0.3131 0.3131
Sc: 0.6869 0.6869 0.6869

Computed, not measured: an optimized crystal structure of Y2Sc at the PBE level of DFT.

Calculated values
D(E_F): 2.02 states/eV per atom
DFT formation energy: 0.0644 eV/atom
V: 179.43 Å³ per cell
Energy relative to the lowest polymorph listed for this composition: 43 meV/atom

Unit cell a=3.4675 b=6.6169 c=8.4755 alpha=75.00 beta=78.25 gamma=74.93
Positions (direct):
Y: 0.0912 0.1180 0.1968
Y: 0.3673 0.6031 0.1634
Y: 0.6327 0.3969 0.8366
Y: 0.9088 0.8820 0.8032
Sc: 0.3581 0.2641 0.5182
Sc: 0.6419 0.7359 0.4818

Computed, not measured: an optimized crystal structure of Y5Sc at the PBE level of DFT.

Calculated values
D(E_F): 1.54 states/eV per atom
DFT formation energy: 0.0386 eV/atom
V: 185.62 Å³ per cell

Unit cell a=3.5409 b=3.5409 c=14.8042 alpha=90.00 beta=90.00 gamma=90.00
Positions (direct):
Y: 0.0000 0.0000 0.0000
Y: 0.0000 0.0000 0.3443
Y: 0.0000 0.0000 0.6557
Y: 0.5000 0.5000 0.1716
Y: 0.5000 0.5000 0.8284
Sc: 0.5000 0.5000 0.5000

Computed, not measured: an optimized crystal structure of Y8Sc at the PBE level of DFT.

Calculated values
D(E_F): 1.57 states/eV per atom
DFT formation energy: 0.0372 eV/atom
V: 282.09 Å³ per cell

Unit cell a=7.9182 b=7.9182 c=7.9182 alpha=95.71 beta=95.71 gamma=143.22
Positions (direct):
Y: 0.0000 0.3308 0.3308
Y: 0.0000 0.6692 0.6692
Y: 0.3308 0.0000 0.3308
Y: 0.3358 0.3358 0.6717
Y: 0.3358 0.6642 0.0000
Y: 0.6642 0.3358 0.0000
Y: 0.6642 0.6642 0.3283
Y: 0.6692 0.0000 0.6692
Sc: 0.0000 0.0000 0.0000

Computed, not measured: an optimized crystal structure of YSc at the PBE level of DFT.

Calculated values
D(E_F): 2.01 states/eV per atom
DFT formation energy: 0.0269 eV/atom
V: 227.58 Å³ per cell
Energy relative to the lowest polymorph listed for this composition: 4 meV/atom

Unit cell a=6.0346 b=5.4035 c=6.9792 alpha=90.00 beta=90.00 gamma=90.00
Positions (direct):
Y: 0.0909 0.2500 0.1267
Y: 0.4091 0.7500 0.6267
Y: 0.5909 0.2500 0.3733
Y: 0.9091 0.7500 0.8733
Sc: 0.0771 0.2500 0.6237
Sc: 0.4229 0.7500 0.1237
Sc: 0.5771 0.2500 0.8763
Sc: 0.9229 0.7500 0.3763

Computed, not measured: an optimized crystal structure of Y2Sc at the PBE level of DFT.

Calculated values
D(E_F): 1.57 states/eV per atom
DFT formation energy: 0.3553 eV/atom
V: 365.37 Å³ per cell
Energy relative to the lowest polymorph listed for this composition: 334 meV/atom

Unit cell a=6.4947 b=6.4947 c=10.0019 alpha=90.00 beta=90.00 gamma=120.00
Positions (direct):
Y: 0.0000 0.0000 0.0000
Y: 0.0000 0.0000 0.5000
Y: 0.1753 0.3505 0.2500
Y: 0.1753 0.8247 0.2500
Y: 0.3505 0.1753 0.7500
Y: 0.6495 0.8247 0.2500
Y: 0.8247 0.1753 0.7500
Y: 0.8247 0.6495 0.7500
Sc: 0.3333 0.6667 0.5687
Sc: 0.3333 0.6667 0.9313
Sc: 0.6667 0.3333 0.0687
Sc: 0.6667 0.3333 0.4313